1.
Density functional theory data (PBE) for a geometry-optimized ZnCuSnHg structure.

Cell lengths 4.7987, 4.7987, 4.7987 Å; angles 60.00, 60.00, 60.00 degrees
Atoms (fractional coordinates):
Zn1 0.0000 0.0000 0.0000
Cu1 0.5000 0.5000 0.5000
Sn1 0.2500 0.2500 0.2500
Hg1 0.7500 0.7500 0.7500

- VASP energy: -8.40 eV per cell
- Calculated volume: 78.1 Å³ per cell
- E above lowest polymorph: 0.000 eV/f.u.

=====

2.
Density functional theory data (PBE) for a geometry-optimized ZrCuSnHg structure.

Cell lengths 4.8575, 4.8575, 4.8575 Å; angles 60.00, 60.00, 60.00 degrees
Atoms (fractional coordinates):
Zr1 0.0000 0.0000 0.0000
Cu1 0.5000 0.5000 0.5000
Sn1 0.2500 0.2500 0.2500
Hg1 0.7500 0.7500 0.7500

- VASP energy: -16.30 eV per cell
- Calculated volume: 81.0 Å³ per cell
- E above lowest polymorph: 0.000 eV/f.u.

=====

3.
Density functional theory data (PBE) for a geometry-optimized ZrCuSnHg structure.

Cell lengths 4.8699, 4.8699, 4.8699 Å; angles 60.00, 60.00, 60.00 degrees
Atoms (fractional coordinates):
Zr1 0.0000 0.0000 0.0000
Cu1 0.7500 0.7500 0.7500
Sn1 0.5000 0.5000 0.5000
Hg1 0.2500 0.2500 0.2500

- VASP energy: -16.06 eV per cell
- Calculated volume: 81.7 Å³ per cell
- E above lowest polymorph: 0.239 eV/f.u.

=====

> calculated volume of number 1 (ZnCuSnHg)?

78.1 Å³ per cell

=====

> What is the calculated volume in the second record?

81.0 Å³ per cell